Record 1
First-principles (PBE) data for a relaxed Na3Ca2Pb4 crystal, as listed in Alexandria via LeMat-Bulk.

abc: 5.429 5.443 10.522
angles: 89.56 89.82 60.21
Element x y z (fractional)
Na: 0.000 0.000 0.000
Na: 0.334 0.333 0.432
Na: 0.666 0.667 0.568
Ca: 0.333 0.334 0.784
Ca: 0.667 0.666 0.216
Pb: 0.000 0.001 0.658
Pb: 0.000 0.999 0.342
Pb: 0.333 0.332 0.105
Pb: 0.667 0.668 0.895

=====

Record 2
First-principles (PBE) data for a relaxed Na8CaPb6 crystal, as listed in Alexandria via LeMat-Bulk.

abc: 8.370 8.370 8.370
angles: 69.58 69.58 69.58
Element x y z (fractional)
Na: 0.076 0.277 0.555
Na: 0.112 0.112 0.112
Na: 0.277 0.555 0.076
Na: 0.445 0.924 0.723
Na: 0.555 0.076 0.277
Na: 0.723 0.445 0.924
Na: 0.888 0.888 0.888
Na: 0.924 0.723 0.445
Ca: 0.500 0.500 0.500
Pb: 0.122 0.492 0.796
Pb: 0.204 0.878 0.508
Pb: 0.492 0.796 0.122
Pb: 0.508 0.204 0.878
Pb: 0.796 0.122 0.492
Pb: 0.878 0.508 0.204

=====

Record 3
First-principles (PBE) data for a relaxed NaCaPb4 crystal, as listed in Alexandria via LeMat-Bulk.

abc: 5.716 6.046 6.160
angles: 75.47 64.66 77.70
Element x y z (fractional)
Na: 0.000 0.000 0.000
Ca: 0.000 0.500 0.499
Pb: 0.332 0.480 0.855
Pb: 0.337 0.985 0.344
Pb: 0.663 0.013 0.657
Pb: 0.668 0.519 0.143

Output
The offset from the most stable computed form comes out at 0.00 kcal/mol of atoms.

=====

Record 4
First-principles (PBE) data for a relaxed NaCa2Pb8 crystal, as listed in Alexandria via LeMat-Bulk.

abc: 6.136 6.765 9.095
angles: 68.61 86.59 89.86
Element x y z (fractional)
Na: 0.000 0.000 0.000
Ca: 0.323 0.665 0.671
Ca: 0.677 0.335 0.329
Pb: 0.168 0.085 0.330
Pb: 0.170 0.585 0.331
Pb: 0.331 0.164 0.674
Pb: 0.499 0.254 0.001
Pb: 0.501 0.746 0.999
Pb: 0.669 0.836 0.326
Pb: 0.830 0.415 0.669
Pb: 0.832 0.915 0.670

=====

Record 5
First-principles (PBE) data for a relaxed NaCaPmPb crystal, as listed in Alexandria via LeMat-Bulk.

abc: 5.555 5.555 5.555
angles: 60.00 60.00 60.00
Element x y z (fractional)
Na: 0.000 0.000 0.000
Ca: 0.750 0.750 0.750
Pm: 0.250 0.250 0.250
Pb: 0.500 0.500 0.500

=====

Record 6
First-principles (PBE) data for a relaxed NaCaPrPb crystal, as listed in Alexandria via LeMat-Bulk.

abc: 5.596 5.596 5.596
angles: 60.00 60.00 60.00
Element x y z (fractional)
Na: 0.000 0.000 0.000
Ca: 0.750 0.750 0.750
Pr: 0.250 0.250 0.250
Pb: 0.500 0.500 0.500

=====

Number 1: spin magnetization 0.0 μB per formula unit, calculated total energy -2.81 eV/atom. Number 2: spin magnetization 0.0 μB per formula unit, calculated total energy -2.45 eV/atom. Number 3: spin magnetization 0.0 μB per formula unit, calculated total energy -3.22 eV/atom. Number 4: spin magnetization 0.0 μB per formula unit, calculated total energy -3.37 eV/atom. Number 5: spin magnetization 0.0 μB per formula unit, calculated total energy -3.19 eV/atom. Number 6: spin magnetization 0.0 μB per formula unit, calculated total energy -3.22 eV/atom.